Record 1
Below is an optimized crystal structure of Ac3Pr2NbN6, with properties calculated at the PBE level.

Cell lengths 6.325, 6.325, 6.391 Å; angles 99.38, 99.38, 119.96 degrees
Element x y z (fractional)
Ac  0.000  0.000  0.000
Ac  0.335  0.665  0.000
Ac  0.665  0.335  0.000
Pr  0.167  0.833  0.500
Pr  0.833  0.167  0.500
Nb  0.500  0.500  0.500
N  0.138  0.429  0.289
N  0.278  0.278  0.724
N  0.429  0.138  0.289
N  0.571  0.862  0.711
N  0.722  0.722  0.276
N  0.862  0.571  0.711

Summary:
The space group is No. 12. For the uncorrected formation energy, the calculation gives -104 kJ/mol of atoms.


Record 2
Below is an optimized crystal structure of Ac3Pr4NbN8, with properties calculated at the PBE level.

Cell lengths 7.353, 7.353, 7.353 Å; angles 60.40, 60.40, 60.40 degrees
Element x y z (fractional)
Ac  0.000  0.500  0.500
Ac  0.500  0.000  0.500
Ac  0.500  0.500  0.000
Pr  0.000  0.000  0.500
Pr  0.000  0.500  0.000
Pr  0.500  0.000  0.000
Pr  0.500  0.500  0.500
Nb  0.000  0.000  0.000
N  0.217  0.777  0.777
N  0.223  0.223  0.783
N  0.223  0.783  0.223
N  0.245  0.245  0.245
N  0.755  0.755  0.755
N  0.777  0.217  0.777
N  0.777  0.777  0.217
N  0.783  0.223  0.223

Summary:
The space group is No. 166. For the uncorrected formation energy, the calculation gives -103 kJ/mol of atoms.


Record 3
Below is an optimized crystal structure of AcPrNbN4, with properties calculated at the PBE level.

Cell lengths 7.089, 7.089, 5.814 Å; angles 90.00, 90.00, 131.49 degrees
Element x y z (fractional)
Ac  0.104  0.896  0.750
Ac  0.896  0.104  0.250
Pr  0.390  0.610  0.750
Pr  0.610  0.390  0.250
Nb  0.260  0.740  0.250
Nb  0.740  0.260  0.750
N  0.000  0.500  0.000
N  0.000  0.500  0.500
N  0.086  0.914  0.250
N  0.420  0.580  0.250
N  0.500  0.000  0.000
N  0.500  0.000  0.500
N  0.580  0.420  0.750
N  0.914  0.086  0.750

Summary:
The space group is No. 63. For the uncorrected formation energy, the calculation gives -95 kJ/mol of atoms.


Record 4
Below is an optimized crystal structure of AcPu2NbN4, with properties calculated at the PBE level.

Cell lengths 6.400, 6.400, 12.209 Å; angles 90.00, 90.00, 148.27 degrees
Element x y z (fractional)
Ac  0.095  0.905  0.750
Ac  0.905  0.095  0.250
Pu  0.371  0.629  0.538
Pu  0.371  0.629  0.962
Pu  0.629  0.371  0.038
Pu  0.629  0.371  0.462
Nb  0.166  0.834  0.250
Nb  0.834  0.166  0.750
N  0.000  0.000  0.000
N  0.000  0.000  0.500
N  0.261  0.739  0.118
N  0.261  0.739  0.382
N  0.433  0.567  0.750
N  0.567  0.433  0.250
N  0.739  0.261  0.618
N  0.739  0.261  0.882

Summary:
The space group is No. 63. For the uncorrected formation energy, the calculation gives -100 kJ/mol of atoms.


Record 5
Below is an optimized crystal structure of AcPuNbN3, with properties calculated at the PBE level.

Cell lengths 7.633, 3.563, 8.089 Å; angles 90.00, 97.91, 90.00 degrees
Element x y z (fractional)
Ac  0.166  0.250  0.179
Ac  0.834  0.750  0.821
Pu  0.370  0.750  0.846
Pu  0.630  0.250  0.154
Nb  0.117  0.250  0.592
Nb  0.883  0.750  0.408
N  0.120  0.250  0.845
N  0.172  0.750  0.472
N  0.424  0.750  0.117
N  0.576  0.250  0.883
N  0.828  0.250  0.528
N  0.880  0.750  0.155

Summary:
The space group is No. 11. For the uncorrected formation energy, the calculation gives -88 kJ/mol of atoms.


Record 6
Below is an optimized crystal structure of Ac2NbReN6, with properties calculated at the PBE level.

Cell lengths 4.088, 4.088, 8.167 Å; angles 90.00, 90.00, 90.00 degrees
Element x y z (fractional)
Ac  0.000  0.000  0.249
Ac  0.000  0.000  0.751
Nb  0.500  0.500  0.000
Re  0.500  0.500  0.500
N  0.000  0.500  0.000
N  0.000  0.500  0.500
N  0.500  0.000  0.000
N  0.500  0.000  0.500
N  0.500  0.500  0.259
N  0.500  0.500  0.741

Summary:
The space group is No. 123. For the uncorrected formation energy, the calculation gives -79 kJ/mol of atoms.


Record 7
Below is an optimized crystal structure of Ac2NbRu2N6, with properties calculated at the PBE level.

Cell lengths 6.469, 6.469, 6.469 Å; angles 55.61, 55.61, 55.61 degrees
Element x y z (fractional)
Ac  0.220  0.220  0.220
Ac  0.780  0.780  0.780
Nb  0.000  0.000  0.000
Ru  0.428  0.428  0.428
Ru  0.572  0.572  0.572
N  0.232  0.763  0.763
N  0.237  0.237  0.768
N  0.237  0.768  0.237
N  0.763  0.232  0.763
N  0.763  0.763  0.232
N  0.768  0.237  0.237

Summary:
The space group is No. 166. For the uncorrected formation energy, the calculation gives -37 kJ/mol of atoms.


Record 8
Below is an optimized crystal structure of Ac3Nb2S2N5, with properties calculated at the PBE level.

Cell lengths 12.307, 12.307, 12.307 Å; angles 160.41, 160.41, 27.84 degrees
Element x y z (fractional)
Ac  0.000  0.000  0.000
Ac  0.167  0.167  0.000
Ac  0.833  0.833  0.000
Nb  0.417  0.417  0.000
Nb  0.583  0.583  0.000
S  0.299  0.299  0.000
S  0.701  0.701  0.000
N  0.091  0.591  0.500
N  0.409  0.909  0.500
N  0.500  0.500  0.000
N  0.591  0.091  0.500
N  0.909  0.409  0.500

Summary:
The space group is No. 139. For the uncorrected formation energy, the calculation gives -142 kJ/mol of atoms.


Record 9
Below is an optimized crystal structure of Ac2NbSbN5, with properties calculated at the PBE level.

Cell lengths 7.723, 7.723, 10.905 Å; angles 90.00, 90.00, 153.78 degrees
Element x y z (fractional)
Ac  0.115  0.885  0.500
Ac  0.139  0.861  0.105
Ac  0.861  0.139  0.605
Ac  0.885  0.115  0.000
Nb  0.224  0.776  0.827
Nb  0.776  0.224  0.327
Sb  0.450  0.550  0.267
Sb  0.550  0.450  0.767
N  0.048  0.952  0.868
N  0.285  0.715  0.454
N  0.317  0.683  0.195
N  0.347  0.653  0.814
N  0.495  0.505  0.600
N  0.505  0.495  0.100
N  0.653  0.347  0.314
N  0.683  0.317  0.695
N  0.715  0.285  0.954
N  0.952  0.048  0.368

Summary:
The space group is No. 36. For the uncorrected formation energy, the calculation gives -62 kJ/mol of atoms.


Record 10
Below is an optimized crystal structure of Ac3Nb2Se2N5, with properties calculated at the PBE level.

Cell lengths 12.657, 12.657, 12.657 Å; angles 160.83, 160.83, 27.24 degrees
Element x y z (fractional)
Ac  0.000  0.000  0.000
Ac  0.161  0.161  0.000
Ac  0.839  0.839  0.000
Nb  0.420  0.420  0.000
Nb  0.580  0.580  0.000
Se  0.299  0.299  0.000
Se  0.701  0.701  0.000
N  0.088  0.588  0.500
N  0.412  0.912  0.500
N  0.500  0.500  0.000
N  0.588  0.088  0.500
N  0.912  0.412  0.500

Summary:
The space group is No. 139. For the uncorrected formation energy, the calculation gives -136 kJ/mol of atoms.


Record 11
Below is an optimized crystal structure of AcSm2NbN4, with properties calculated at the PBE level.

Cell lengths 6.485, 6.485, 12.378 Å; angles 90.00, 90.00, 148.29 degrees
Element x y z (fractional)
Ac  0.090  0.910  0.750
Ac  0.910  0.090  0.250
Sm  0.371  0.629  0.537
Sm  0.371  0.629  0.963
Sm  0.629  0.371  0.037
Sm  0.629  0.371  0.463
Nb  0.171  0.829  0.250
Nb  0.829  0.171  0.750
N  0.000  0.000  0.000
N  0.000  0.000  0.500
N  0.263  0.737  0.123
N  0.263  0.737  0.377
N  0.428  0.572  0.750
N  0.572  0.428  0.250
N  0.737  0.263  0.623
N  0.737  0.263  0.877

Summary:
The space group is No. 63. For the uncorrected formation energy, the calculation gives -112 kJ/mol of atoms.


Record 12
Below is an optimized crystal structure of AcSmNbN4, with properties calculated at the PBE level.

Cell lengths 7.017, 7.017, 5.796 Å; angles 90.00, 90.00, 131.14 degrees
Element x y z (fractional)
Ac  0.103  0.897  0.750
Ac  0.897  0.103  0.250
Sm  0.389  0.611  0.750
Sm  0.611  0.389  0.250
Nb  0.262  0.738  0.250
Nb  0.738  0.262  0.750
N  0.000  0.500  0.000
N  0.000  0.500  0.500
N  0.087  0.913  0.250
N  0.423  0.577  0.250
N  0.500  0.000  0.000
N  0.500  0.000  0.500
N  0.577  0.423  0.750
N  0.913  0.087  0.750

Summary:
The space group is No. 63. For the uncorrected formation energy, the calculation gives -95 kJ/mol of atoms.


Record 13
Below is an optimized crystal structure of Sr2AcNbN4, with properties calculated at the PBE level.

Cell lengths 6.557, 6.557, 12.911 Å; angles 90.00, 90.00, 147.46 degrees
Element x y z (fractional)
Sr  0.128  0.872  0.534
Sr  0.128  0.872  0.966
Sr  0.872  0.128  0.034
Sr  0.872  0.128  0.466
Ac  0.403  0.597  0.750
Ac  0.597  0.403  0.250
Nb  0.325  0.675  0.250
Nb  0.675  0.325  0.750
N  0.093  0.907  0.750
N  0.222  0.778  0.142
N  0.222  0.778  0.358
N  0.500  0.500  0.000
N  0.500  0.500  0.500
N  0.778  0.222  0.642
N  0.778  0.222  0.858
N  0.907  0.093  0.250

Summary:
The space group is No. 63. For the uncorrected formation energy, the calculation gives -82 kJ/mol of atoms.


Record 14
Below is an optimized crystal structure of Ac2TaNbN5, with properties calculated at the PBE level.

Cell lengths 7.448, 7.448, 10.979 Å; angles 90.00, 90.00, 152.77 degrees
Element x y z (fractional)
Ac  0.111  0.889  0.500
Ac  0.141  0.859  0.117
Ac  0.859  0.141  0.617
Ac  0.889  0.111  0.000
Ta  0.221  0.779  0.837
Ta  0.779  0.221  0.337
Nb  0.450  0.550  0.273
Nb  0.550  0.450  0.773
N  0.052  0.948  0.863
N  0.286  0.714  0.459
N  0.317  0.683  0.210
N  0.353  0.647  0.824
N  0.496  0.504  0.614
N  0.504  0.496  0.114
N  0.647  0.353  0.324
N  0.683  0.317  0.710
N  0.714  0.286  0.959
N  0.948  0.052  0.363

Summary:
The space group is No. 36. For the uncorrected formation energy, the calculation gives -108 kJ/mol of atoms.


Record 15
Below is an optimized crystal structure of AcTbNbN3, with properties calculated at the PBE level.

Cell lengths 7.774, 3.554, 8.134 Å; angles 90.00, 96.28, 90.00 degrees
Element x y z (fractional)
Ac  0.171  0.250  0.177
Ac  0.829  0.750  0.823
Tb  0.379  0.750  0.853
Tb  0.621  0.250  0.147
Nb  0.115  0.250  0.588
Nb  0.885  0.750  0.412
N  0.144  0.250  0.835
N  0.165  0.750  0.467
N  0.405  0.750  0.128
N  0.595  0.250  0.872
N  0.835  0.250  0.533
N  0.856  0.750  0.165

Summary:
The space group is No. 11. For the uncorrected formation energy, the calculation gives -99 kJ/mol of atoms.


Record 16
Below is an optimized crystal structure of AcTb2NbN4, with properties calculated at the PBE level.

Cell lengths 6.409, 6.409, 12.200 Å; angles 90.00, 90.00, 148.26 degrees
Element x y z (fractional)
Ac  0.089  0.911  0.750
Ac  0.911  0.089  0.250
Tb  0.371  0.629  0.537
Tb  0.371  0.629  0.963
Tb  0.629  0.371  0.037
Tb  0.629  0.371  0.463
Nb  0.171  0.829  0.250
Nb  0.829  0.171  0.750
N  0.000  0.000  0.000
N  0.000  0.000  0.500
N  0.261  0.739  0.118
N  0.261  0.739  0.382
N  0.429  0.571  0.750
N  0.571  0.429  0.250
N  0.739  0.261  0.618
N  0.739  0.261  0.882

Summary:
The space group is No. 63. For the uncorrected formation energy, the calculation gives -118 kJ/mol of atoms.


Record 17
Below is an optimized crystal structure of Ac2NbTcN5, with properties calculated at the PBE level.

Cell lengths 7.635, 7.635, 10.627 Å; angles 90.00, 90.00, 153.89 degrees
Element x y z (fractional)
Ac  0.121  0.879  0.500
Ac  0.135  0.865  0.122
Ac  0.865  0.135  0.622
Ac  0.879  0.121  0.000
Nb  0.210  0.790  0.827
Nb  0.790  0.210  0.327
Tc  0.447  0.553  0.270
Tc  0.553  0.447  0.770
N  0.047  0.953  0.850
N  0.294  0.706  0.460
N  0.319  0.681  0.193
N  0.339  0.661  0.814
N  0.498  0.502  0.111
N  0.502  0.498  0.611
N  0.661  0.339  0.314
N  0.681  0.319  0.693
N  0.706  0.294  0.960
N  0.953  0.047  0.350

Summary:
The space group is No. 36. For the uncorrected formation energy, the calculation gives -79 kJ/mol of atoms.


Record 18
Below is an optimized crystal structure of AcThNbN4, with properties calculated at the PBE level.

Cell lengths 7.134, 7.134, 5.805 Å; angles 90.00, 90.00, 132.14 degrees
Element x y z (fractional)
Ac  0.108  0.892  0.750
Ac  0.892  0.108  0.250
Th  0.393  0.607  0.750
Th  0.607  0.393  0.250
Nb  0.238  0.762  0.250
Nb  0.762  0.238  0.750
N  0.000  0.500  0.000
N  0.000  0.500  0.500
N  0.086  0.914  0.250
N  0.435  0.565  0.250
N  0.500  0.000  0.000
N  0.500  0.000  0.500
N  0.565  0.435  0.750
N  0.914  0.086  0.750

Summary:
The space group is No. 63. For the uncorrected formation energy, the calculation gives -120 kJ/mol of atoms.


Record-wise total magnetization values, in μB per formula unit: 0.0; 0.0; 0.0; 10.4; 5.4; 0.0; 0.0; 0.0; 0.0; 0.0; 0.0; 0.0; 0.1; 0.0; 0.0; 0.0; 0.0; 0.0
Record-wise calculated density values, in Mg/m³: 9.04; 8.49; 7.84; 10.91; 9.24; 9.94; 8.05; 7.94; 8.54; 8.32; 8.21; 8.13; 6.13; 9.51; 7.74; 8.74; 8.71; 9.22
Record-wise total DFT energy (no corrections) values, in eV/atom: -7.90; -7.82; -8.45; -10.55; -9.83; -8.89; -8.27; -8.33; -7.75; -8.16; -8.27; -8.44; -7.20; -9.09; -8.33; -8.32; -8.63; -9.08